LaPrP2Ir2O2 | PBE | optimized geometry

Geometry as CIF:
```
data_LaPrP2Ir2O2
_chemical_formula_sum 'La1 Pr1 P2 Ir2 O2'
_space_group_name_H-M_alt 'P 4 m m'
_space_group_IT_number 99
_cell_length_a 4.013
_cell_length_b 4.013
_cell_length_c 8.515
_cell_angle_alpha 90.00
_cell_angle_beta 90.00
_cell_angle_gamma 90.00
loop_
_space_group_symop_operation_xyz
'x,y,z'
'-y,x,z'
'-x,-y,z'
'y,-x,z'
'-x,y,z'
'y,x,z'
'x,-y,z'
'-y,-x,z'
loop_
_atom_site_label
_atom_site_fract_x
_atom_site_fract_y
_atom_site_fract_z
La1 0.000 0.000 0.000
Pr1 0.500 0.500 0.711
P1 0.000 0.000 0.510
P2 0.500 0.500 0.206
Ir1 0.000 0.500 0.359
O1 0.000 0.500 0.855
```

- energy (eV per atom) = -7.9741
- magnetic moment (μB/f.u.) = 0.00

***

LaSmP2Ir2O2 | PBE | optimized geometry

Geometry as CIF:
```
data_LaSmP2Ir2O2
_chemical_formula_sum 'La1 Sm1 P2 Ir2 O2'
_space_group_name_H-M_alt 'P 4 m m'
_space_group_IT_number 99
_cell_length_a 3.998
_cell_length_b 3.998
_cell_length_c 8.411
_cell_angle_alpha 90.00
_cell_angle_beta 90.00
_cell_angle_gamma 90.00
loop_
_space_group_symop_operation_xyz
'x,y,z'
'-y,x,z'
'-x,-y,z'
'y,-x,z'
'-x,y,z'
'y,x,z'
'x,-y,z'
'-y,-x,z'
loop_
_atom_site_label
_atom_site_fract_x
_atom_site_fract_y
_atom_site_fract_z
La1 0.000 0.000 0.000
Sm1 0.500 0.500 0.714
P1 0.000 0.000 0.516
P2 0.500 0.500 0.208
Ir1 0.000 0.500 0.362
O1 0.000 0.500 0.851
```

- energy (eV per atom) = -7.9862
- magnetic moment (μB/f.u.) = 0.00

***

La2ZrP2IrO2 | PBE | optimized geometry

Geometry as CIF:
```
data_La2ZrP2IrO2
_chemical_formula_sum 'La2 Zr1 P2 Ir1 O2'
_space_group_name_H-M_alt 'P -4 m 2'
_space_group_IT_number 115
_cell_length_a 4.089
_cell_length_b 4.089
_cell_length_c 8.928
_cell_angle_alpha 90.00
_cell_angle_beta 90.00
_cell_angle_gamma 90.00
loop_
_space_group_symop_operation_xyz
'x,y,z'
'y,-x,-z'
'-x,-y,z'
'-y,x,-z'
'-x,y,z'
'-y,-x,-z'
'x,-y,z'
'y,x,-z'
loop_
_atom_site_label
_atom_site_fract_x
_atom_site_fract_y
_atom_site_fract_z
La1 0.000 0.500 0.135
Zr1 0.500 0.500 0.500
P1 0.000 0.500 0.670
Ir1 0.000 0.000 0.500
O1 0.000 0.000 0.000
O2 0.500 0.500 0.000
```

- energy (eV per atom) = -8.1086
- magnetic moment (μB/f.u.) = 0.00

***

LaPrSb2Ir2O2 | PBE | optimized geometry

Geometry as CIF:
```
data_LaPrSb2Ir2O2
_chemical_formula_sum 'La1 Pr1 Sb2 Ir2 O2'
_space_group_name_H-M_alt 'P 4 m m'
_space_group_IT_number 99
_cell_length_a 4.230
_cell_length_b 4.230
_cell_length_c 8.820
_cell_angle_alpha 90.00
_cell_angle_beta 90.00
_cell_angle_gamma 90.00
loop_
_space_group_symop_operation_xyz
'x,y,z'
'-y,x,z'
'-x,-y,z'
'y,-x,z'
'-x,y,z'
'y,x,z'
'x,-y,z'
'-y,-x,z'
loop_
_atom_site_label
_atom_site_fract_x
_atom_site_fract_y
_atom_site_fract_z
La1 0.000 0.000 0.000
Pr1 0.500 0.500 0.742
Sb1 0.000 0.000 0.551
Sb2 0.500 0.500 0.199
Ir1 0.000 0.500 0.375
O1 0.000 0.500 0.872
```

- energy (eV per atom) = -7.3984
- magnetic moment (μB/f.u.) = 0.01